(1)
# KCd3H8Cl7O4 | Alexandria via LeMat-Bulk | GGA-PBE | relaxed
data_KCd3H8Cl7O4
_space_group_name_H-M_alt 'P 1 21/m 1'
_space_group_IT_number 11
_space_group_name_Hall '-P 2yb'
_cell_length_a 6.874
_cell_length_b 16.009
_cell_length_c 7.474
_cell_angle_alpha 90.00
_cell_angle_beta 96.98
_cell_angle_gamma 90.00
loop_
_atom_site_label
_atom_site_fract_x
_atom_site_fract_y
_atom_site_fract_z
K1 0.002 0.250 0.156
Cd1 0.000 0.000 0.500
Cd2 0.480 0.096 0.333
H1 0.195 0.701 0.270
H2 0.261 0.073 0.982
H3 0.345 0.250 0.741
H4 0.351 0.165 0.977
H5 0.440 0.750 0.156
Cl1 0.181 0.142 0.504
Cl2 0.214 0.542 0.812
Cl3 0.310 0.559 0.344
Cl4 0.382 0.750 0.657
O1 0.200 0.750 0.192
O2 0.289 0.124 0.055
O3 0.418 0.250 0.862
# - crystal system = monoclinic

(2)
# Li2CdHCl | Alexandria via LeMat-Bulk | GGA-PBE | relaxed
data_Li2CdHCl
_space_group_name_H-M_alt 'P 4/m m m'
_space_group_IT_number 123
_space_group_name_Hall '-P 4 2'
_cell_length_a 4.703
_cell_length_b 4.703
_cell_length_c 3.997
_cell_angle_alpha 90.00
_cell_angle_beta 90.00
_cell_angle_gamma 90.00
loop_
_atom_site_label
_atom_site_fract_x
_atom_site_fract_y
_atom_site_fract_z
Li1 0.000 0.500 0.000
Cd1 0.000 0.000 0.500
H1 0.000 0.000 0.000
Cl1 0.500 0.500 0.500
# - crystal system = tetragonal

In order of appearance, total energy = -3.91; -2.34 eV/atom.